1.
TlTc2Br: relaxed, GGA-PBEsol.

```
TlTc2Br
1.0
-1.362 1.892 -1.871
-1.679 -1.686 1.905
0.506 6.442 6.148
Tl Tc Br
1 2 1
direct
0.500 0.000 0.500 Tl
0.000 0.000 0.763 Tc
0.000 0.000 0.237 Tc
0.500 0.000 0.000 Br
```

Results
E_form (uncorrected) ... 1.00 eV/atom
ΔE to the lowest computed polymorph ... 72.7 kJ/mol of atoms
Total magnetization ... 0.40 μB/atom
Space-group type ... No. 65

2.
TlTcBr: relaxed, GGA-PBEsol.

```
TlTcBr
1.0
3.228 0.000 0.000
0.000 4.598 0.000
0.000 -2.299 3.982
Tl Tc Br
1 1 1
direct
0.500 0.667 0.333 Tl
0.000 0.333 0.667 Tc
0.000 0.000 0.000 Br
```

Results
E_form (uncorrected) ... 0.75 eV/atom
ΔE to the lowest computed polymorph ... 0.0 kJ/mol of atoms
Total magnetization ... 0.47 μB/atom
Space-group type ... No. 187

3.
TlTc2Br: relaxed, GGA-PBEsol.

```
TlTc2Br
1.0
-2.376 -1.721 0.738
1.800 -2.487 -0.004
0.749 2.389 7.982
Tl Tc Br
1 2 1
direct
0.000 0.415 0.461 Tl
0.000 0.209 0.041 Tc
0.500 0.791 0.208 Tc
0.500 0.085 0.791 Br
```

Results
E_form (uncorrected) ... 0.25 eV/atom
ΔE to the lowest computed polymorph ... 0.0 kJ/mol of atoms
Total magnetization ... 0.00 μB/atom
Space-group type ... No. 6

4.
TlTcBr: relaxed, GGA-PBEsol.

```
TlTcBr
1.0
4.833 0.000 0.000
2.417 4.186 0.000
2.417 1.395 3.947
Tl Tc Br
1 1 1
direct
0.250 0.250 0.250 Tl
0.500 0.500 0.500 Tc
0.000 0.000 0.000 Br
```

Results
E_form (uncorrected) ... 1.46 eV/atom
ΔE to the lowest computed polymorph ... 68.4 kJ/mol of atoms
Total magnetization ... 1.01 μB/atom
Space-group type ... No. 216

5.
Tc2WBr: relaxed, GGA-PBEsol.

```
Tc2WBr
1.0
-0.292 0.000 -2.952
3.143 -2.996 -0.311
-3.386 -3.365 1.825
Br Tc W
1 2 1
direct
0.247 0.761 0.494 Br
0.030 0.033 0.060 Tc
0.754 0.235 0.508 Tc
0.469 0.471 0.938 W
```

Results
E_form (uncorrected) ... 0.69 eV/atom
ΔE to the lowest computed polymorph ... 17.7 kJ/mol of atoms
Total magnetization ... 0.00 μB/atom
Space-group type ... No. 8

6.
TcWBr: relaxed, GGA-PBEsol.

```
TcWBr
1.0
-2.679 -1.025 -0.715
1.607 -1.712 -3.565
-0.092 -2.279 3.608
Br Tc W
1 1 1
direct
0.027 0.000 0.000 Br
0.744 0.333 0.667 Tc
0.229 0.667 0.333 W
```

Results
E_form (uncorrected) ... 0.83 eV/atom
ΔE to the lowest computed polymorph ... 34.3 kJ/mol of atoms
Total magnetization ... 0.00 μB/atom
Space-group type ... No. 156